No. 1
Mn2TePt | Alexandria | PBE | relaxed; total magnetic moment = 7.7 μB/cell; E_tot = -27.28 eV/cell; uncorrected formation energy = 0.061 eV per atom
1.0
4.5480 0.0477 0.0033
-1.1085 4.4110 0.0033
-0.0001 -0.0002 3.4188
Mn Pt Te
2 1 1
Cartesian
1.7197 2.2294 0.0033
0.0000 0.0000 0.0000
2.2739 0.0238 1.7111
-0.5543 2.2054 1.7111

No. 2
Cs2MgF | Alexandria | PBE | relaxed; total magnetic moment = 0.0 μB/cell; E_tot = -39.94 eV/cell; energy relative to the lowest polymorph listed for this composition = 0 meV/atom; uncorrected formation energy = -1.203 eV per atom
1.0
8.2578 0.0000 -0.6926
0.0000 5.1798 0.0000
-3.0239 0.0000 20.9896
Mg Cs F
4 8 4
Cartesian
2.7590 0.0000 13.1458
6.1753 0.0000 2.9439
4.6633 2.5899 13.4388
4.2710 2.5899 2.6510
2.0774 0.0000 5.0052
-1.5210 0.0000 11.8636
2.0808 2.5899 10.2255
5.8795 2.5899 6.1093
4.3675 0.0000 16.6041
-0.0091 2.5899 1.3688
0.5654 2.5899 15.5001
3.5927 0.0000 -0.2693
1.4386 0.0000 11.7133
1.7469 0.0000 14.8090
2.9505 2.5899 1.2185
3.2588 2.5899 4.3142

No. 3
Tb3Nd4MgTe8 | Alexandria | PBE | relaxed; total magnetic moment = 0.0 μB/cell; E_tot = -80.28 eV/cell; uncorrected formation energy = -1.287 eV per atom
1.0
-5.4921 -2.8503 -6.1646
-3.8765 -5.4583 5.9774
0.5360 8.5377 1.7627
Nd Tb Te Mg
4 3 8 1
Cartesian
0.0000 0.0000 0.0000
-2.7461 -1.4251 -3.0823
0.2680 4.2688 0.8814
-2.4781 2.8437 -2.2009
-4.6843 -4.1543 -0.0936
-4.4163 0.1146 0.7877
-1.6703 1.5397 3.8700
-3.8960 -0.5995 3.7482
-6.4520 2.3336 1.4780
-5.2131 -3.5745 -3.0818
-4.9366 0.8286 -2.1727
-3.6195 3.8036 4.6573
-2.3807 -2.1045 0.0975
-6.7010 -1.9549 0.6861
-2.1317 2.1840 0.8894
-1.9383 -2.7292 2.9887

No. 4
ScC3 | Alexandria | PBE | relaxed; energy of formation from the pure elements = 1.76 eV/atom; total magnetic moment = 0.0 μB/cell; E_tot = -26.95 eV/cell; energy relative to the lowest polymorph listed for this composition = 1514 meV/atom
1.0
4.2802 0.0082 0.0053
3.0171 3.0360 0.0053
3.0171 1.2586 2.7628
Sc C
1 3
Cartesian
0.0000 0.0000 0.0000
5.1572 2.1514 1.3867
2.1108 0.8805 0.5675
8.2037 3.4222 2.2058

No. 5
GdCu2Rh | Alexandria | PBE | relaxed; energy of formation from the pure elements = -0.20 eV/atom; total magnetic moment = 7.2 μB/cell; E_tot = -30.43 eV/cell; energy relative to the lowest polymorph listed for this composition = 99 meV/atom
1.0
-1.0785 -3.3697 -2.8646
-2.8787 -3.2720 1.3156
-4.1784 -0.2123 -1.7945
Cu Gd Rh
2 1 1
Cartesian
-2.0339 -1.7135 -0.8359
-6.1016 -5.1405 -2.5076
-4.0678 -3.4270 -1.6718
0.0000 0.0000 0.0000

No. 6
Mn2CrSb | Alexandria | PBE | relaxed; total magnetic moment = 1.4 μB/cell; E_tot = -31.64 eV/cell; uncorrected formation energy = 0.111 eV per atom
1.0
-2.4291 -3.3259 -2.2227
1.4339 -3.5609 -2.6770
-0.0022 -3.4681 1.7759
Mn Cr Sb
2 1 1
Cartesian
-0.9951 -6.8867 -4.8993
-0.4987 -5.1775 -1.5622
-0.2493 -2.5887 -0.7809
-0.7480 -7.7661 -2.3428

No. 7
Ba2GaSnPt | Alexandria | PBE | relaxed; energy of formation from the pure elements = -0.54 eV/atom; total magnetic moment = 0.0 μB/cell; E_tot = -19.61 eV/cell
1.0
-4.9107 0.1913 3.7436
-3.2274 -3.3540 -4.0621
1.4834 -4.0339 2.1521
Pt Ba Ga Sn
1 2 1 1
Cartesian
0.0000 0.0000 0.0000
-1.6137 -1.6770 -2.0311
-2.4554 0.0957 1.8718
0.7417 -2.0169 1.0760
-3.3273 -3.5983 0.9167

No. 8
Ru2BrCl | Alexandria | PBE | relaxed; total magnetic moment = 0.0 μB/cell; E_tot = -20.70 eV/cell; energy relative to the lowest polymorph listed for this composition = 155 meV/atom; uncorrected formation energy = 0.343 eV per atom
1.0
-4.0634 2.5865 -8.5784
-3.1213 -0.1741 -9.3283
-5.7793 0.1899 -7.9595
Ru Cl Br
2 1 1
Cartesian
-3.3782 0.6781 -6.7403
-12.8848 2.5864 -25.7081
-9.3927 1.8854 -18.7406
-6.7545 1.3559 -13.4767

- Which value of E_tot does entry 1 give?
  -27.28 eV/cell